[1]
Below is crystalline PmPuSn at its relaxed geometry, with properties calculated at the GGA-PBE level.

Output
energy above the lowest structure with this stoichiometry	0	meV/atom

Structure (CIF):
```
data_PmPuSn
_chemical_formula_sum 'Pm1 Pu1 Sn1'
_symmetry_space_group_name_H-M 'P 1'
_symmetry_Int_Tables_number 1
_cell_length_a 5.1502
_cell_length_b 5.1502
_cell_length_c 5.1502
_cell_angle_alpha 60.00
_cell_angle_beta 60.00
_cell_angle_gamma 60.00
loop_
_symmetry_equiv_pos_as_xyz
'x,y,z'
loop_
_atom_site_label
_atom_site_type_symbol
_atom_site_fract_x
_atom_site_fract_y
_atom_site_fract_z
Pm1 Pm 0.0000 0.0000 0.0000
Pu1 Pu 0.7500 0.7500 0.7500
Sn1 Sn 0.5000 0.5000 0.5000
```


[2]
Below is crystalline LaHoSi at its relaxed geometry, with properties calculated at the GGA-PBE level.

Output
energy above the lowest structure with this stoichiometry	0	meV/atom

Structure (CIF):
```
data_LaHoSi
_chemical_formula_sum 'La1 Ho1 Si1'
_symmetry_space_group_name_H-M 'P 1'
_symmetry_Int_Tables_number 1
_cell_length_a 4.9728
_cell_length_b 4.9728
_cell_length_c 4.9728
_cell_angle_alpha 60.00
_cell_angle_beta 60.00
_cell_angle_gamma 60.00
loop_
_symmetry_equiv_pos_as_xyz
'x,y,z'
loop_
_atom_site_label
_atom_site_type_symbol
_atom_site_fract_x
_atom_site_fract_y
_atom_site_fract_z
Ho1 Ho 0.2500 0.2500 0.2500
La1 La 0.7500 0.7500 0.7500
Si1 Si 0.0000 0.0000 0.0000
```


[3]
Below is crystalline RbLiMoPd at its relaxed geometry, with properties calculated at the GGA-PBE level.

Output
energy above the lowest structure with this stoichiometry	0	meV/atom

Structure (CIF):
```
data_RbLiMoPd
_chemical_formula_sum 'Rb1 Li1 Mo1 Pd1'
_symmetry_space_group_name_H-M 'P 1'
_symmetry_Int_Tables_number 1
_cell_length_a 5.0704
_cell_length_b 5.0704
_cell_length_c 5.0704
_cell_angle_alpha 60.00
_cell_angle_beta 60.00
_cell_angle_gamma 60.00
loop_
_symmetry_equiv_pos_as_xyz
'x,y,z'
loop_
_atom_site_label
_atom_site_type_symbol
_atom_site_fract_x
_atom_site_fract_y
_atom_site_fract_z
Li1 Li 0.7500 0.7500 0.7500
Mo1 Mo 0.0000 0.0000 0.0000
Pd1 Pd 0.2500 0.2500 0.2500
Rb1 Rb 0.5000 0.5000 0.5000
```


[4]
Below is crystalline Nb3InAs5 at its relaxed geometry, with properties calculated at the GGA-PBE level.

Output
raw total energy	-57.59	eV per cell

Structure (CIF):
```
data_Nb3InAs5
_chemical_formula_sum 'Nb3 In1 As5'
_symmetry_space_group_name_H-M 'P 1'
_symmetry_Int_Tables_number 1
_cell_length_a 5.6382
_cell_length_b 5.6382
_cell_length_c 7.6043
_cell_angle_alpha 90.00
_cell_angle_beta 90.00
_cell_angle_gamma 120.00
loop_
_symmetry_equiv_pos_as_xyz
'x,y,z'
loop_
_atom_site_label
_atom_site_type_symbol
_atom_site_fract_x
_atom_site_fract_y
_atom_site_fract_z
As1 As 0.6667 0.3333 0.2194
As2 As 0.3333 0.6667 0.2194
As3 As 0.0000 0.0000 0.5000
As4 As 0.6667 0.3333 0.7806
As5 As 0.3333 0.6667 0.7806
In1 In 0.0000 0.0000 0.0000
Nb1 Nb 0.5000 0.0000 0.5000
Nb2 Nb 0.0000 0.5000 0.5000
Nb3 Nb 0.5000 0.5000 0.5000
```


[5]
Below is crystalline Sr7Os4O19 at its relaxed geometry, with properties calculated at the GGA-PBE level.

Output
raw total energy	-210.11	eV per cell

Structure (CIF):
```
data_Sr7Os4O19
_chemical_formula_sum 'Sr7 Os4 O19'
_symmetry_space_group_name_H-M 'P 1'
_symmetry_Int_Tables_number 1
_cell_length_a 7.3610
_cell_length_b 7.3610
_cell_length_c 10.3860
_cell_angle_alpha 97.94
_cell_angle_beta 97.94
_cell_angle_gamma 44.15
loop_
_symmetry_equiv_pos_as_xyz
'x,y,z'
loop_
_atom_site_label
_atom_site_type_symbol
_atom_site_fract_x
_atom_site_fract_y
_atom_site_fract_z
O1 O 0.3952 0.3952 0.0632
O2 O 0.0462 0.0462 0.1461
O3 O 0.9994 0.4849 0.1554
O4 O 0.4849 0.9994 0.1554
O5 O 0.6810 0.1781 0.2846
O6 O 0.1781 0.6810 0.2846
O7 O 0.8777 0.3744 0.3742
O8 O 0.3744 0.8777 0.3742
O9 O 0.3001 0.3001 0.3900
O10 O 0.0000 0.0000 0.5000
O11 O 0.6999 0.6999 0.6100
O12 O 0.6256 0.1223 0.6258
O13 O 0.1223 0.6256 0.6258
O14 O 0.8219 0.3190 0.7154
O15 O 0.3190 0.8219 0.7154
O16 O 0.5151 0.0006 0.8446
O17 O 0.0006 0.5151 0.8446
O18 O 0.9538 0.9538 0.8539
O19 O 0.6048 0.6048 0.9368
Os1 Os 0.3316 0.3316 0.2214
Os2 Os 0.0332 0.0332 0.3252
Os3 Os 0.9668 0.9668 0.6748
Os4 Os 0.6684 0.6684 0.7786
Sr1 Sr 0.8576 0.8576 0.0409
Sr2 Sr 0.5815 0.5815 0.1640
Sr3 Sr 0.7874 0.7874 0.4093
Sr4 Sr 0.5000 0.5000 0.5000
Sr5 Sr 0.2126 0.2126 0.5907
Sr6 Sr 0.4185 0.4185 0.8360
Sr7 Sr 0.1424 0.1424 0.9591
```


[6]
Below is crystalline KTmBr3 at its relaxed geometry, with properties calculated at the GGA-PBE level.

Output
raw total energy	-74.36	eV per cell

Structure (CIF):
```
data_KTmBr3
_chemical_formula_sum 'K4 Tm4 Br12'
_symmetry_space_group_name_H-M 'P 1'
_symmetry_Int_Tables_number 1
_cell_length_a 9.4680
_cell_length_b 4.0026
_cell_length_c 16.2929
_cell_angle_alpha 90.00
_cell_angle_beta 90.00
_cell_angle_gamma 90.00
loop_
_symmetry_equiv_pos_as_xyz
'x,y,z'
loop_
_atom_site_label
_atom_site_type_symbol
_atom_site_fract_x
_atom_site_fract_y
_atom_site_fract_z
Br1 Br 0.6681 0.2500 0.0090
Br2 Br 0.9566 0.7500 0.1271
Br3 Br 0.2779 0.2500 0.1948
Br4 Br 0.7779 0.2500 0.3052
Br5 Br 0.4566 0.7500 0.3729
Br6 Br 0.1681 0.2500 0.4910
Br7 Br 0.8319 0.7500 0.5090
Br8 Br 0.5434 0.2500 0.6271
Br9 Br 0.2221 0.7500 0.6948
Br10 Br 0.7221 0.7500 0.8052
Br11 Br 0.0434 0.2500 0.8729
Br12 Br 0.3319 0.7500 0.9910
K1 K 0.5714 0.7500 0.1771
K2 K 0.0714 0.7500 0.3229
K3 K 0.9286 0.2500 0.6771
K4 K 0.4286 0.2500 0.8230
Tm1 Tm 0.1322 0.2500 0.0429
Tm2 Tm 0.6322 0.2500 0.4571
Tm3 Tm 0.3678 0.7500 0.5429
Tm4 Tm 0.8678 0.7500 0.9571
```


[7]
Below is crystalline Y2HfB at its relaxed geometry, with properties calculated at the GGA-PBE level.

Output
raw total energy	-26.30	eV per cell

Structure (CIF):
```
data_Y2HfB
_chemical_formula_sum 'Y2 Hf1 B1'
_symmetry_space_group_name_H-M 'P 1'
_symmetry_Int_Tables_number 1
_cell_length_a 4.8968
_cell_length_b 4.8968
_cell_length_c 4.8968
_cell_angle_alpha 60.00
_cell_angle_beta 60.00
_cell_angle_gamma 60.00
loop_
_symmetry_equiv_pos_as_xyz
'x,y,z'
loop_
_atom_site_label
_atom_site_type_symbol
_atom_site_fract_x
_atom_site_fract_y
_atom_site_fract_z
B1 B 0.5000 0.5000 0.5000
Hf1 Hf 0.2500 0.2500 0.2500
Y1 Y 0.0000 0.0000 0.0000
Y2 Y 0.7500 0.7500 0.7500
```


[8]
Below is crystalline DyEr3Sc2Te2Os at its relaxed geometry, with properties calculated at the GGA-PBE level.

Output
raw total energy	-55.09	eV per cell

Structure (CIF):
```
data_DyEr3Sc2Te2Os
_chemical_formula_sum 'Dy1 Er3 Sc2 Te2 Os1'
_symmetry_space_group_name_H-M 'P 1'
_symmetry_Int_Tables_number 1
_cell_length_a 3.9984
_cell_length_b 8.0553
_cell_length_c 8.0553
_cell_angle_alpha 120.53
_cell_angle_beta 90.00
_cell_angle_gamma 90.00
loop_
_symmetry_equiv_pos_as_xyz
'x,y,z'
loop_
_atom_site_label
_atom_site_type_symbol
_atom_site_fract_x
_atom_site_fract_y
_atom_site_fract_z
Dy1 Dy 0.5000 0.2365 0.2365
Er1 Er 0.0000 0.9992 0.3915
Er2 Er 0.0000 0.6173 0.6173
Er3 Er 0.0000 0.3915 0.9992
Os1 Os 0.0000 0.9787 0.9787
Sc1 Sc 0.5000 0.7666 0.0032
Sc2 Sc 0.5000 0.0032 0.7666
Te1 Te 0.5000 0.6738 0.3331
Te2 Te 0.5000 0.3331 0.6738
```


[9]
Below is crystalline Hf4Nb2Si3C3 at its relaxed geometry, with properties calculated at the GGA-PBE level.

Output
raw total energy	-225.18	eV per cell

Structure (CIF):
```
data_Hf4Nb2Si3C3
_chemical_formula_sum 'Hf8 Nb4 Si6 C6'
_symmetry_space_group_name_H-M 'P 1'
_symmetry_Int_Tables_number 1
_cell_length_a 5.5817
_cell_length_b 5.5817
_cell_length_c 13.7041
_cell_angle_alpha 90.05
_cell_angle_beta 101.72
_cell_angle_gamma 119.93
loop_
_symmetry_equiv_pos_as_xyz
'x,y,z'
loop_
_atom_site_label
_atom_site_type_symbol
_atom_site_fract_x
_atom_site_fract_y
_atom_site_fract_z
C1 C 0.3308 0.1619 0.0000
C2 C 0.0000 0.5000 0.0000
C3 C 0.6692 0.8380 0.0000
C4 C 0.3380 0.6692 0.4999
C5 C 0.0000 0.0000 0.5000
C6 C 0.6620 0.3308 0.5001
Hf1 Hf 0.3988 0.8678 0.0988
Hf2 Hf 0.0641 0.1983 0.0988
Hf3 Hf 0.5995 0.9652 0.4012
Hf4 Hf 0.2690 0.3000 0.4012
Hf5 Hf 0.7310 0.7000 0.5988
Hf6 Hf 0.4005 0.0348 0.5988
Hf7 Hf 0.9359 0.8017 0.9012
Hf8 Hf 0.6012 0.1322 0.9012
Nb1 Nb 0.7265 0.5293 0.0878
Nb2 Nb 0.9415 0.6387 0.4122
Nb3 Nb 0.0585 0.3613 0.5878
Nb4 Nb 0.2735 0.4707 0.9122
Si1 Si 0.5419 0.5824 0.2497
Si2 Si 0.1234 0.8734 0.2500
Si3 Si 0.8327 0.2922 0.2503
Si4 Si 0.1673 0.7078 0.7497
Si5 Si 0.8766 0.1266 0.7500
Si6 Si 0.4581 0.4176 0.7503
```


[10]
Below is crystalline Lu2ReB at its relaxed geometry, with properties calculated at the GGA-PBE level.

Output
raw total energy	-25.33	eV per cell

Structure (CIF):
```
data_Lu2ReB
_chemical_formula_sum 'Lu2 Re1 B1'
_symmetry_space_group_name_H-M 'P 1'
_symmetry_Int_Tables_number 1
_cell_length_a 4.5454
_cell_length_b 4.5454
_cell_length_c 4.5454
_cell_angle_alpha 60.00
_cell_angle_beta 60.00
_cell_angle_gamma 60.00
loop_
_symmetry_equiv_pos_as_xyz
'x,y,z'
loop_
_atom_site_label
_atom_site_type_symbol
_atom_site_fract_x
_atom_site_fract_y
_atom_site_fract_z
B1 B 0.5000 0.5000 0.5000
Lu1 Lu 0.0000 0.0000 0.0000
Lu2 Lu 0.7500 0.7500 0.7500
Re1 Re 0.2500 0.2500 0.2500
```


[11]
Below is crystalline Er6Ge2Pd at its relaxed geometry, with properties calculated at the GGA-PBE level.

Output
raw total energy	-47.28	eV per cell

Structure (CIF):
```
data_Er6Ge2Pd
_chemical_formula_sum 'Er6 Ge2 Pd1'
_symmetry_space_group_name_H-M 'P 1'
_symmetry_Int_Tables_number 1
_cell_length_a 7.8190
_cell_length_b 7.8190
_cell_length_c 4.2205
_cell_angle_alpha 90.00
_cell_angle_beta 90.00
_cell_angle_gamma 120.00
loop_
_symmetry_equiv_pos_as_xyz
'x,y,z'
loop_
_atom_site_label
_atom_site_type_symbol
_atom_site_fract_x
_atom_site_fract_y
_atom_site_fract_z
Er1 Er 0.7398 0.0000 0.0000
Er2 Er 0.2602 0.2602 0.0000
Er3 Er 0.0000 0.7398 0.0000
Er4 Er 0.4039 0.0000 0.5000
Er5 Er 0.0000 0.4039 0.5000
Er6 Er 0.5961 0.5961 0.5000
Ge1 Ge 0.6667 0.3333 0.0000
Ge2 Ge 0.3333 0.6667 0.0000
Pd1 Pd 0.0000 0.0000 0.5000
```


[12]
Below is crystalline ZnFeReAu at its relaxed geometry, with properties calculated at the GGA-PBE level.

Output
energy relative to the elements	563	meV per atom
energy above the lowest structure with this stoichiometry	71	meV/atom

Structure (CIF):
```
data_ZnFeReAu
_chemical_formula_sum 'Zn1 Fe1 Re1 Au1'
_symmetry_space_group_name_H-M 'P 1'
_symmetry_Int_Tables_number 1
_cell_length_a 4.3674
_cell_length_b 4.3674
_cell_length_c 4.3674
_cell_angle_alpha 60.00
_cell_angle_beta 60.00
_cell_angle_gamma 60.00
loop_
_symmetry_equiv_pos_as_xyz
'x,y,z'
loop_
_atom_site_label
_atom_site_type_symbol
_atom_site_fract_x
_atom_site_fract_y
_atom_site_fract_z
Au1 Au 0.5000 0.5000 0.5000
Fe1 Fe 0.7500 0.7500 0.7500
Re1 Re 0.2500 0.2500 0.2500
Zn1 Zn 0.0000 0.0000 0.0000
```


What did the third record say?
Below is crystalline RbLiMoPd at its relaxed geometry, with properties calculated at the GGA-PBE level.

Output
energy above the lowest structure with this stoichiometry	0	meV/atom

Structure (CIF):
```
data_RbLiMoPd
_chemical_formula_sum 'Rb1 Li1 Mo1 Pd1'
_symmetry_space_group_name_H-M 'P 1'
_symmetry_Int_Tables_number 1
_cell_length_a 5.0704
_cell_length_b 5.0704
_cell_length_c 5.0704
_cell_angle_alpha 60.00
_cell_angle_beta 60.00
_cell_angle_gamma 60.00
loop_
_symmetry_equiv_pos_as_xyz
'x,y,z'
loop_
_atom_site_label
_atom_site_type_symbol
_atom_site_fract_x
_atom_site_fract_y
_atom_site_fract_z
Li1 Li 0.7500 0.7500 0.7500
Mo1 Mo 0.0000 0.0000 0.0000
Pd1 Pd 0.2500 0.2500 0.2500
Rb1 Rb 0.5000 0.5000 0.5000
```